## ThPaCo3 (PBE)

Data for an optimized crystal structure of ThPaCo3.

## Properties
Its space-group type is Cmcm, No. 63. The value obtained for the formation energy from the elements is -0.3260 eV per atom. The calculation puts the electronic total energy at -7.97 eV/atom.

Cell lengths 4.057, 3.862, 11.692 Å; angles 99.51, 90.00, 90.00 degrees
Atoms (fractional coordinates):
1 Th 0.250 0.072 0.145
2 Th 0.750 0.928 0.855
3 Pa 0.250 0.797 0.594
4 Pa 0.750 0.203 0.406
5 Co 0.250 0.373 0.746
6 Co 0.750 0.627 0.254
7 Co 0.250 0.474 0.949
8 Co 0.750 0.526 0.051
9 Co 0.750 0.310 0.619
10 Co 0.250 0.690 0.381